This record from Alexandria via LeMat-Bulk describes a relaxed structure of AcPr2Y. The functional is GGA-PBE.

## Properties
Size of the total moment = 0.00 μB/f.u.
Final energy = -20.0 eV/f.u.
Formation energy from the elements = 0.024 eV/atom
Offset from the most stable computed form = 0.008 eV/atom

Cell lengths 3.7782, 5.3030, 7.4225 Å; angles 90.00, 90.00, 90.00 degrees
With the nearest neighbours (Å) after each atom.
Space group Pmmm (No. 47)
Symmetry-distinct sites (fractional):
Ac (0.0000, 0.0000, 0.0000) x1  2 Y 3.71, 2 Ac 3.78, 8 Pr 3.78
Pr (0.5000, 0.5000, 0.2600) x2  4 Pr 3.56-3.86, 4 Y 3.71, 4 Ac 3.78
Y (0.0000, 0.0000, 0.5000) x1  8 Pr 3.71, 2 Ac 3.71, 2 Y 3.78